(1)
## Sm2YTh (PBE)

Data for crystalline Sm2YTh at its relaxed geometry.

**SG**: R3m, No. 160
**ρ**: 7.8 g/cm3
**Energy above the most stable polymorph in this dataset**: 0.0 meV/atom
**Magnetization**: 0.16 μB per formula unit
**Uncorrected energy**: -5.81 eV/atom
**Crystal system**: trigonal
**Formation energy**: 18 meV/atom

Unit cell a=3.624 b=3.624 c=11.823 alpha=81.18 beta=81.18 gamma=60.00
Sites, in units of the cell vectors:
Sm1 0.082 0.082 0.754
Sm2 0.251 0.251 0.246
Y1 0.500 0.500 0.499
Th1 0.666 0.666 0.001

=====

(2)
## Rb2NaSnCl6 (PBE)

Data for crystalline Rb2NaSnCl6 at its relaxed geometry.

**SG**: R-3m, No. 166
**ΔE_f (raw)**: -1.52 eV/atom
**ρ**: 2.7 g/cm3
**Magnetization**: 0.00 μB per formula unit
**Uncorrected energy**: -3.36 eV/atom
**Crystal system**: trigonal

Unit cell a=7.599 b=7.599 c=13.701 alpha=73.90 beta=73.90 gamma=60.00
Sites, in units of the cell vectors:
Rb1 0.859 0.859 0.423
Rb2 0.141 0.141 0.577
Rb3 0.724 0.724 0.829
Rb4 0.276 0.276 0.171
Na1 0.587 0.587 0.240
Na2 0.413 0.413 0.760
Sn1 0.000 0.000 0.000
Sn2 0.500 0.500 0.500
Cl1 0.883 0.376 0.365
Cl2 0.376 0.883 0.365
Cl3 0.376 0.376 0.365
Cl4 0.117 0.624 0.635
Cl5 0.624 0.117 0.635
Cl6 0.624 0.624 0.635
Cl7 0.729 0.190 0.890
Cl8 0.190 0.729 0.890
Cl9 0.190 0.190 0.890
Cl10 0.271 0.810 0.110
Cl11 0.810 0.271 0.110
Cl12 0.810 0.810 0.110

=====

(3)
## PuBePd2 (PBE)

Data for crystalline PuBePd2 at its relaxed geometry.

**SG**: Cmmm, No. 65
**ρ**: 11.0 g/cm3
**Energy above the most stable polymorph in this dataset**: 0.0 meV/atom
**Magnetization**: 5.48 μB per formula unit
**Uncorrected energy**: -7.56 eV/atom
**Crystal system**: orthorhombic
**Formation energy**: -449 meV/atom

Unit cell a=3.976 b=4.101 c=8.882 alpha=103.35 beta=90.00 gamma=90.00
Sites, in units of the cell vectors:
Pu1 0.000 0.854 0.708
Pu2 0.000 0.146 0.292
Be1 0.500 0.569 0.137
Be2 0.500 0.431 0.863
Pd1 0.000 0.500 0.000
Pd2 0.500 0.000 0.000
Pd3 0.500 0.698 0.397
Pd4 0.500 0.302 0.603

=====

(4)
## Y3Co2Si3 (PBE)

Data for crystalline Y3Co2Si3 at its relaxed geometry.

**SG**: Cmcm, No. 63
**ΔE_f (raw)**: -0.75 eV/atom
**ρ**: 5.3 g/cm3
**Magnetization**: 0.67 μB per formula unit
**Uncorrected energy**: -6.99 eV/atom
**Crystal system**: orthorhombic

Unit cell a=5.614 b=5.614 c=13.636 alpha=90.00 beta=90.00 gamma=137.20
Sites, in units of the cell vectors:
Y1 0.638 0.362 0.250
Y2 0.362 0.638 0.750
Y3 0.919 0.081 0.112
Y4 0.081 0.919 0.888
Y5 0.081 0.919 0.612
Y6 0.919 0.081 0.388
Co1 0.786 0.214 0.581
Co2 0.214 0.786 0.419
Co3 0.214 0.786 0.081
Co4 0.786 0.214 0.919
Si1 0.331 0.669 0.250
Si2 0.669 0.331 0.750
Si3 0.622 0.378 0.040
Si4 0.378 0.622 0.960
Si5 0.378 0.622 0.540
Si6 0.622 0.378 0.460

=====

(5)
## ReBrCl2 (PBE)

Data for crystalline ReBrCl2 at its relaxed geometry.

**SG**: P4mm, No. 99
**ΔE_f (raw)**: 0.65 eV/atom
**ρ**: 6.9 g/cm3
**Energy above the most stable polymorph in this dataset**: 816.6 meV/atom
**Magnetization**: 0.40 μB per formula unit
**Uncorrected energy**: -3.80 eV/atom
**Crystal system**: tetragonal

Unit cell a=3.100 b=3.100 c=8.494 alpha=90.00 beta=90.00 gamma=90.00
Sites, in units of the cell vectors:
Re1 0.000 0.000 0.509
Br1 0.500 0.500 0.683
Cl1 0.000 0.000 0.983
Cl2 0.500 0.500 0.325

=====

(6)
## Tb7YIn4 (PBE)

Data for crystalline Tb7YIn4 at its relaxed geometry.

**SG**: C2/m, No. 12
**ρ**: 7.7 g/cm3
**Magnetization**: 0.00 μB per formula unit
**Uncorrected energy**: -4.26 eV/atom
**Crystal system**: monoclinic
**Formation energy**: -104 meV/atom

Unit cell a=5.671 b=9.292 c=7.802 alpha=75.28 beta=68.69 gamma=72.23
Sites, in units of the cell vectors:
Tb1 0.790 0.878 0.542
Tb2 0.210 0.122 0.458
Tb3 0.063 0.604 0.269
Tb4 0.937 0.396 0.731
Tb5 0.280 0.661 0.779
Tb6 0.500 0.000 0.000
Tb7 0.720 0.339 0.221
Y1 0.000 0.000 0.000
In1 0.560 0.244 0.636
In2 0.440 0.756 0.364
In3 0.681 0.666 0.972
In4 0.319 0.334 0.028

=====

(7)
## YCrTe (PBE)

Data for crystalline YCrTe at its relaxed geometry.

**SG**: P-6m2, No. 187
**ΔE_f (raw)**: -0.26 eV/atom
**ρ**: 6.3 g/cm3
**Magnetization**: 3.60 μB per formula unit
**Uncorrected energy**: -6.67 eV/atom
**Crystal system**: hexagonal

Unit cell a=4.587 b=4.587 c=3.893 alpha=90.00 beta=90.00 gamma=120.00
Sites, in units of the cell vectors:
Cr1 0.000 0.000 0.167
Te1 0.667 0.333 0.166
Y1 0.333 0.667 0.667

=====

(8)
## Pr12Nd3Sm (PBE)

Data for crystalline Pr12Nd3Sm at its relaxed geometry.

**SG**: P4/mmm, No. 123
**ρ**: 6.6 g/cm3
**Magnetization**: 0.00 μB per formula unit
**Uncorrected energy**: -4.76 eV/atom
**Crystal system**: tetragonal
**Formation energy**: 9 meV/atom

Unit cell a=5.238 b=5.238 c=20.910 alpha=90.00 beta=90.00 gamma=90.00
Sites, in units of the cell vectors:
Pr1 0.500 0.500 0.000
Pr2 0.500 0.500 0.249
Pr3 0.500 0.500 0.500
Pr4 0.500 0.500 0.751
Pr5 0.500 0.000 0.124
Pr6 0.500 0.000 0.375
Pr7 0.500 0.000 0.625
Pr8 0.500 0.000 0.876
Pr9 0.000 0.500 0.124
Pr10 0.000 0.500 0.375
Pr11 0.000 0.500 0.625
Pr12 0.000 0.500 0.876
Nd1 0.000 0.000 0.249
Nd2 0.000 0.000 0.500
Nd3 0.000 0.000 0.751
Sm1 0.000 0.000 0.000

=====

(9)
## SiHgRuAu2 (PBE)

Data for crystalline SiHgRuAu2 at its relaxed geometry.

**SG**: P4/mmm, No. 123
**ΔE_f (raw)**: 0.66 eV/atom
**ρ**: 10.1 g/cm3
**Magnetization**: 0.66 μB per formula unit
**Uncorrected energy**: -3.65 eV/atom
**Crystal system**: tetragonal

Unit cell a=5.154 b=4.458 c=5.154 alpha=90.00 beta=90.00 gamma=90.00
Sites, in units of the cell vectors:
Ru1 0.000 0.000 0.000
Si1 0.000 0.500 0.000
Au1 0.000 0.000 0.500
Au2 0.500 0.000 0.000
Hg1 0.500 0.500 0.500

=====

(10)
## CsCaI3 (PBE)

Data for crystalline CsCaI3 at its relaxed geometry.

**SG**: C2/m, No. 12
**ΔE_f (raw)**: -1.58 eV/atom
**ρ**: 3.7 g/cm3
**Magnetization**: 0.00 μB per formula unit
**Uncorrected energy**: -3.09 eV/atom
**Crystal system**: monoclinic

Unit cell a=13.397 b=8.583 c=4.690 alpha=74.15 beta=79.92 gamma=101.93
Sites, in units of the cell vectors:
I1 0.817 0.084 0.835
I2 0.105 0.350 0.057
I3 0.538 0.779 0.626
I4 0.623 0.320 0.313
I5 0.335 0.054 0.090
I6 0.903 0.624 0.522
Cs1 0.087 0.951 0.766
Cs2 0.353 0.453 0.381
Ca1 0.569 0.044 0.977
Ca2 0.872 0.359 0.170

=====

(11)
## LiBeAs2Se (PBE)

Data for crystalline LiBeAs2Se at its relaxed geometry.

**SG**: P4/mmm, No. 123
**ΔE_f (raw)**: 0.79 eV/atom
**ρ**: 4.3 g/cm3
**Energy above the most stable polymorph in this dataset**: 640.8 meV/atom
**Magnetization**: 0.00 μB per formula unit
**Uncorrected energy**: -2.89 eV/atom
**Crystal system**: tetragonal

Unit cell a=4.436 b=4.436 c=4.834 alpha=90.00 beta=90.00 gamma=90.00
Sites, in units of the cell vectors:
Be1 0.500 0.500 0.500
As1 0.000 0.500 0.000
As2 0.500 0.000 0.000
Se1 0.000 0.000 0.500
Li1 0.000 0.000 0.000

=====

(12)
## EuZnH3 (PBE)

Data for crystalline EuZnH3 at its relaxed geometry.

**SG**: Pm-3m, No. 221
**ρ**: 6.6 g/cm3
**Magnetization**: 7.23 μB per formula unit
**Uncorrected energy**: -4.49 eV/atom
**Crystal system**: cubic

Unit cell a=3.812 b=3.812 c=3.812 alpha=90.00 beta=90.00 gamma=90.00
Sites, in units of the cell vectors:
Eu1 0.500 0.500 0.500
H1 0.000 0.500 0.000
H2 0.000 0.000 0.500
H3 0.500 0.000 0.000
Zn1 0.000 0.000 0.000

=====

Question: uncorrected energy of number 11 (LiBeAs2Se)?
Answer: -2.89 eV/atom

=====

Question: Which value of magnetization does entry 8 give?
Answer: 0.00 μB per formula unit